VASP calculation (PBE) on an optimized crystal structure of NdZn3Rh2.

Values from the calculation:
* calculated density: 8.45 g/cm3
* formation energy: -493 meV/atom
* calculated total energy: -4.37 eV per atom

Cell lengths 9.0422, 8.2323, 5.7698 Å; angles 90.00, 90.00, 90.00 degrees
Last column: nearest neighbours and their distance in Å.
Space group Cmcm (No. 63)
Unique sites:
Nd: 0.0000 0.1478 0.2500 x4  4 Rh 3.05, 7 Zn 3.07-3.36
Zn: 0.0000 0.4797 0.7500 x4  2 Zn 2.56, 4 Rh 2.57
Zn: 0.1740 0.2342 0.7500 x8  4 Rh 2.55-2.68, 1 Zn 2.56
Rh: 0.2345 0.5000 0.0000 x8  6 Zn 2.55-2.68